Arrangement one

Rb3PdBr6 | PBE | optimized geometry

## Properties
* V: 783 Å³/cell
* magnetization: 0.100 μB per atom

Cell lengths 8.0881, 8.0881, 11.9661 Å; angles 90.00, 90.00, 90.00 degrees
Last column: nearest neighbours and their distance in Å.
Space group I4/mmm (No. 139)
Asymmetric unit:
Rb  0.0000  0.0000  0.0000 [2 per cell]  6 Br 3.22-3.24
Rb  0.0000  0.5000  0.2500 [4 per cell]  12 Br 4.05-4.15
Pd  0.0000  0.0000  0.5000 [2 per cell]  6 Br 2.50-2.75
Br  0.0000  0.0000  0.2704 [4 per cell]  1 Pd 2.75
Br  0.2187  0.2187  0.5000 [8 per cell]  1 Pd 2.50


Arrangement two

Rb3PdBr6 | PBE | optimized geometry

## Properties
* V: 764 Å³/cell
* magnetization: 0.102 μB per atom

Cell lengths 7.8778, 8.6115, 13.6659 Å; angles 90.00, 124.48, 90.00 degrees
Last column: nearest neighbours and their distance in Å.
Space group P2_1/c (No. 14)
Asymmetric unit:
Rb  0.0000  0.0000  0.0000 [2 per cell]  6 Br 3.35-3.53
Rb  0.2214  0.0796  0.7519 [4 per cell]  6 Br 3.49-3.72
Pd  0.5000  0.0000  0.5000 [2 per cell]  6 Br 2.51-2.80
Br  0.1945  0.1559  0.4582 [4 per cell]  1 Pd 2.52
Br  0.2687  0.7254  0.4343 [4 per cell]  1 Pd 2.80
Br  0.3949  0.0380  0.2905 [4 per cell]  1 Pd 2.51


Name the least stable of them. arrangement one.


Arrangement one

RbPdSe2Br | PBE | optimized geometry

## Properties
* V: 254 Å³/cell
* magnetization: 0.806 μB per atom

Cell lengths 6.3697, 6.3697, 6.2624 Å; angles 90.00, 90.00, 90.00 degrees
Last column: nearest neighbours and their distance in Å.
Space group P4/mmm (No. 123)
Asymmetric unit:
Rb  0.0000  0.0000  0.0000 [1 per cell]  2 Br 3.13, 4 Se 3.18
Pd  0.5000  0.5000  0.5000 [1 per cell]  8 Se 4.47, 4 Br 4.50
Se  0.0000  0.5000  0.0000 [2 per cell]  2 Rb 3.18
Br  0.0000  0.0000  0.5000 [1 per cell]  2 Rb 3.13


Arrangement two

RbPdSe2Br | PBE | optimized geometry

## Properties
* V: 142 Å³/cell
* magnetization: 0.278 μB per atom

Cell lengths 5.0261, 5.0261, 5.6141 Å; angles 90.00, 90.00, 90.00 degrees
Last column: nearest neighbours and their distance in Å.
Space group P4/mmm (No. 123)
Asymmetric unit:
Rb  0.0000  0.0000  0.0000 [1 per cell]  4 Br 3.55, 8 Se 3.77
Pd  0.5000  0.5000  0.5000 [1 per cell]  4 Se 2.51, 2 Br 2.81
Se  0.0000  0.5000  0.5000 [2 per cell]  2 Pd 2.51
Br  0.5000  0.5000  0.0000 [1 per cell]  2 Pd 2.81


Name the least stable of them. arrangement one.


Arrangement one

Re2PdBr8 | PBE | optimized geometry

## Properties
* V: 355 Å³/cell
* magnetization: 0.182 μB per atom

Cell lengths 6.1722, 7.2679, 8.4638 Å; angles 107.67, 91.24, 99.82 degrees
Last column: nearest neighbours and their distance in Å.
Space group P-1 (No. 2)
Asymmetric unit:
Re  0.1052  0.1193  0.1391 [2 per cell]  5 Br 2.48-2.52, 1 Re 2.62
Pd  0.5000  0.0000  0.0000 [1 per cell]  2 Br 2.47
Br  0.1063  0.2155  0.8796 [2 per cell]  2 Re 2.50-2.52
Br  0.2416  0.7463  0.7852 [2 per cell]  1 Pd 2.47, 1 Re 2.52
Br  0.2611  0.0853  0.3994 [2 per cell]  1 Re 2.48
Br  0.3065  0.4696  0.2607 [2 per cell]  1 Re 2.52


Arrangement two

Re2PdBr8 | PBE | optimized geometry

## Properties
* V: 814 Å³/cell
* magnetization: 0.360 μB per atom

Cell lengths 12.1629, 11.0263, 6.0710 Å; angles 90.00, 90.23, 90.00 degrees
Last column: nearest neighbours and their distance in Å.
Space group C2/m (No. 12)
Asymmetric unit:
Re  0.1598  0.0000  0.2913 [4 per cell]  4 Br 2.37-2.44, 1 Pd 2.62
Pd  0.0000  0.0000  0.0000 [2 per cell]  2 Br 2.60, 2 Re 2.62
Br  0.1244  0.2165  0.2541 [8 per cell]  1 Re 2.44
Br  0.1489  0.0000  0.6931 [4 per cell]  1 Re 2.44, 1 Pd 2.60
Br  0.1556  0.5000  0.8304 [4 per cell]  1 Re 2.37


Name the least stable of them. arrangement two.